Entry from Alexandria via LeMat-Bulk: Gd2GeAu after structural relaxation (GGA-PBE).

The structure belongs to space group R-3m (No. 166, hexagonal axes); the cell edges are 4.2550, 4.2550 and 20.5392 Å and the angles 90.00°, 90.00° and 120.00°. Symmetry generates all atoms from Gd at (0.0000, 0.0000, 0.2442), Ge at (0.0000, 0.0000, 0.5000) and Au at (0.0000, 0.0000, 0.0000).

Its crystal system is trigonal. The polymorph energy (0 for the lowest one) comes out at 28.4 kJ/mol of formula units. The calculation puts the density at 9.04 g/cm³. The formation energy comes out at -0.716 eV per atom.

***

Entry from Alexandria via LeMat-Bulk: PmSmSbI after structural relaxation (GGA-PBE).

The structure belongs to space group F-43m (No. 216); the cell edges are 7.743, 7.743 and 7.743 Å and the angles 90.00°, 90.00° and 90.00°. Symmetry generates all atoms from Pm at (0.000, 0.000, 0.000), Sm at (0.000, 0.000, 0.500), Sb at (0.250, 0.250, 0.750) and I at (0.250, 0.250, 0.250).

Its crystal system is cubic. The calculation puts the density at 7.79 g/cm³. The calculation puts the formation energy (no corrections) at -0.9357 eV/atom.

***

Entry from Alexandria via LeMat-Bulk: PbW2Au after structural relaxation (GGA-PBE).

The structure belongs to space group Cmmm (No. 65); the cell edges are 3.587, 4.545 and 9.181 Å and the angles 90.00°, 90.00° and 90.00°. Symmetry generates all atoms from Pb at (0.000, 0.000, 0.000), W at (0.000, 0.500, 0.266) and Au at (0.000, 0.000, 0.500).

Its crystal system is orthorhombic. The calculation puts the density at 17.13 g/cm³. The formation energy comes out at 0.986 eV per atom.

***

Entry from Alexandria via LeMat-Bulk: LaHoGaNi after structural relaxation (GGA-PBE).

The structure belongs to space group F-43m (No. 216); the cell edges are 7.163, 7.163 and 7.163 Å and the angles 90.00°, 90.00° and 90.00°. Symmetry generates all atoms from La at (0.000, 0.000, 0.000), Ho at (0.000, 0.000, 0.500), Ga at (0.250, 0.250, 0.250) and Ni at (0.250, 0.250, 0.750).

Its crystal system is cubic. The calculation puts the density at 7.81 g/cm³. The formation energy comes out at -0.377 eV per atom.

***

| no. | DOS at the Fermi energy (states/eV/f.u.) | raw total energy (eV per atom) |
| --- | --- | --- |
| 1 | 3.44 | -9.73 |
| 2 | 3.99 | -4.72 |
| 3 | 2.64 | -7.24 |
| 4 | 3.90 | -4.96 |